This record from Alexandria via LeMat-Bulk describes a relaxed structure of CaHoTmIn. The functional is PBE.

Unit cell a=7.7170 b=7.7170 c=7.7170 alpha=90.00 beta=90.00 gamma=90.00
Closest atoms and distances in Å follow each position.
Space group F-43m (No. 216)
Unique sites:
Ca 0.0000 0.0000 0.0000 x4  4 Ho 3.34, 4 Tm 3.34
Ho 0.2500 0.2500 0.2500 x4  4 In 3.34, 4 Ca 3.34
Tm 0.2500 0.2500 0.7500 x4  4 In 3.34, 4 Ca 3.34
In 0.0000 0.0000 0.5000 x4  4 Ho 3.34, 4 Tm 3.34

Summary:
DFT total energy, eV per atom: -3.56
Formation enthalpy at 0 K, eV/atom: -0.11

=====

This record from Alexandria via LeMat-Bulk describes a relaxed structure of CaYHoIn. The functional is PBE.

Unit cell a=7.7622 b=7.7622 c=7.7622 alpha=90.00 beta=90.00 gamma=90.00
Closest atoms and distances in Å follow each position.
Space group F-43m (No. 216)
Unique sites:
Ca 0.0000 0.0000 0.0000 x4  4 Ho 3.36, 4 Y 3.36
Y 0.2500 0.2500 0.2500 x4  4 In 3.36, 4 Ca 3.36
Ho 0.2500 0.2500 0.7500 x4  4 In 3.36, 4 Ca 3.36
In 0.0000 0.0000 0.5000 x4  4 Ho 3.36, 4 Y 3.36

Summary:
DFT total energy, eV per atom: -4.09
Formation enthalpy at 0 K, eV/atom: -0.14

=====

This record from Alexandria via LeMat-Bulk describes a relaxed structure of CaHoZnIn. The functional is PBE.

Unit cell a=7.4147 b=7.4147 c=7.4147 alpha=90.00 beta=90.00 gamma=90.00
Closest atoms and distances in Å follow each position.
Space group F-43m (No. 216)
Unique sites:
Ca 0.0000 0.0000 0.0000 x4  4 In 3.21, 4 Zn 3.21
Ho 0.0000 0.0000 0.5000 x4  4 In 3.21, 4 Zn 3.21
Zn 0.2500 0.2500 0.7500 x4  4 Ho 3.21, 4 Ca 3.21
In 0.2500 0.2500 0.2500 x4  4 Ho 3.21, 4 Ca 3.21

Summary:
Relative energy among the computed polymorphs, meV/atom: 12.3
DFT total energy, eV per atom: -3.02
Formation enthalpy at 0 K, eV/atom: -0.37

=====

This record from Alexandria via LeMat-Bulk describes a relaxed structure of CaHo2Zn2In2. The functional is PBE.

Unit cell a=4.7392 b=4.7392 c=27.7697 alpha=90.00 beta=90.00 gamma=120.00
Closest atoms and distances in Å follow each position.
Space group R-3m (No. 166, hexagonal axes)
Unique sites:
Ca 0.0000 0.0000 0.0000 x3  6 In 3.45, 6 Zn 3.55, 2 Ho 3.59
Ho 0.0000 0.0000 0.1292 x6  3 Zn 3.04, 3 In 3.12
Zn 0.0000 0.0000 0.4145 x6  3 In 2.74, 3 Ho 3.04
In 0.0000 0.0000 0.2579 x6  3 Zn 2.74

Summary:
DFT total energy, eV per atom: -3.02
Formation enthalpy at 0 K, eV/atom: -0.28

=====

This record from Alexandria via LeMat-Bulk describes a relaxed structure of CaHoZnIn. The functional is PBE.

Unit cell a=3.6574 b=3.6574 c=7.6195 alpha=90.00 beta=90.00 gamma=90.00
Closest atoms and distances in Å follow each position.
Space group P4mm (No. 99)
Unique sites:
Ca 0.0000 0.0000 0.0000 x1  4 Zn 3.21, 4 In 3.33, 1 Ho 3.54
Ho 0.0000 0.0000 0.5354 x1  4 Zn 3.06, 4 In 3.26
Zn 0.5000 0.5000 0.7504 x1  4 Ho 3.06, 4 Ca 3.21
In 0.5000 0.5000 0.2751 x1  4 Ho 3.26, 4 Ca 3.33, 1 Zn 3.62

Summary:
Relative energy among the computed polymorphs, meV/atom: 0.0
DFT total energy, eV per atom: -3.03
Formation enthalpy at 0 K, eV/atom: -0.39

=====

This record from Alexandria via LeMat-Bulk describes a relaxed structure of CaHo2Ir. The functional is PBE.

Unit cell a=4.0975 b=4.0975 c=26.7475 alpha=90.00 beta=90.00 gamma=120.00
Closest atoms and distances in Å follow each position.
Space group R3m (No. 160, hexagonal axes)
Unique sites:
Ca 0.0000 0.0000 0.0000 x3  6 Ho 3.82-3.92, 6 Ca 4.10
Ho 0.0000 0.0000 0.2210 x3  3 Ir 2.74
Ho 0.0000 0.0000 0.4501 x3  3 Ir 2.75
Ir 0.0000 0.0000 0.8357 x3  6 Ho 2.74-2.75

Summary:
Relative energy among the computed polymorphs, meV/atom: 0.0
DFT total energy, eV per atom: -5.44
Formation enthalpy at 0 K, eV/atom: -0.43

=====

This record from Alexandria via LeMat-Bulk describes a relaxed structure of CaHoIr2. The functional is PBE.

Unit cell a=6.8053 b=6.8053 c=6.8053 alpha=90.00 beta=90.00 gamma=90.00
Closest atoms and distances in Å follow each position.
Space group Fm-3m (No. 225)
Unique sites:
Ca 0.0000 0.0000 0.0000 x4  8 Ir 2.95
Ho 0.0000 0.0000 0.5000 x4  8 Ir 2.95
Ir 0.2500 0.2500 0.2500 x8  4 Ho 2.95, 4 Ca 2.95

Summary:
Relative energy among the computed polymorphs, meV/atom: 18.1
DFT total energy, eV per atom: -6.57
Formation enthalpy at 0 K, eV/atom: -0.50

=====

This record from Alexandria via LeMat-Bulk describes a relaxed structure of CaHo3Ir. The functional is PBE.

Unit cell a=5.4539 b=5.4539 c=5.4539 alpha=90.00 beta=90.00 gamma=90.00
Closest atoms and distances in Å follow each position.
Space group Pm-3m (No. 221)
Unique sites:
Ca 0.0000 0.0000 0.0000 x1  12 Ho 3.86
Ho 0.0000 0.5000 0.5000 x3  2 Ir 2.73
Ir 0.5000 0.5000 0.5000 x1  6 Ho 2.73

Summary:
DFT total energy, eV per atom: -5.26
Formation enthalpy at 0 K, eV/atom: -0.34

=====

This record from Alexandria via LeMat-Bulk describes a relaxed structure of CaHoIr2. The functional is PBE.

Unit cell a=3.4078 b=3.4078 c=6.8685 alpha=90.00 beta=90.00 gamma=90.00
Closest atoms and distances in Å follow each position.
Space group P4/mmm (No. 123)
Unique sites:
Ca 0.0000 0.0000 0.0000 x1  8 Ir 3.02
Ho 0.0000 0.0000 0.5000 x1  8 Ir 2.90
Ir 0.5000 0.5000 0.2651 x2  4 Ho 2.90, 4 Ca 3.02, 1 Ir 3.23

Summary:
Relative energy among the computed polymorphs, meV/atom: 0.0
DFT total energy, eV per atom: -6.59
Formation enthalpy at 0 K, eV/atom: -0.52

=====

This record from Alexandria via LeMat-Bulk describes a relaxed structure of CaHo2Ir. The functional is PBE.

Unit cell a=3.4880 b=3.4880 c=9.4127 alpha=90.00 beta=90.00 gamma=90.00
Closest atoms and distances in Å follow each position.
Space group P4/mmm (No. 123)
Unique sites:
Ca 0.0000 0.0000 0.0000 x1  4 Ca 3.49
Ho 0.5000 0.5000 0.3300 x2  4 Ir 2.94, 1 Ho 3.20
Ir 0.0000 0.0000 0.5000 x1  8 Ho 2.94

Summary:
Relative energy among the computed polymorphs, meV/atom: 3.4
DFT total energy, eV per atom: -5.43
Formation enthalpy at 0 K, eV/atom: -0.43

=====

This record from Alexandria via LeMat-Bulk describes a relaxed structure of CaHoIr4. The functional is PBE.

Unit cell a=7.5739 b=7.5739 c=7.5739 alpha=90.00 beta=90.00 gamma=90.00
Closest atoms and distances in Å follow each position.
Space group F-43m (No. 216)
Unique sites:
Ca 0.0000 0.0000 0.0000 x4  12 Ir 3.14, 4 Ho 3.28
Ho 0.2500 0.2500 0.7500 x4  12 Ir 3.14, 4 Ca 3.28
Ir 0.1250 0.1250 0.3750 x16  6 Ir 2.68

Summary:
DFT total energy, eV per atom: -7.65
Formation enthalpy at 0 K, eV/atom: -0.65

=====

This record from Alexandria via LeMat-Bulk describes a relaxed structure of CaHo2Ir. The functional is PBE.

Unit cell a=3.9845 b=3.9845 c=31.5497 alpha=90.00 beta=90.00 gamma=120.00
Closest atoms and distances in Å follow each position.
Space group R-3m (No. 166, hexagonal axes)
Unique sites:
Ca 0.0000 0.0000 0.0000 x3  2 Ho 3.80, 6 Ca 3.98
Ho 0.0000 0.0000 0.1203 x6  3 Ir 2.73
Ir 0.0000 0.0000 0.5000 x3  6 Ho 2.73

Summary:
Relative energy among the computed polymorphs, meV/atom: 141.8
DFT total energy, eV per atom: -5.30
Formation enthalpy at 0 K, eV/atom: -0.29